[1]
First-principles (PBE) data for a geometry-optimized Tb3HoPt8 structure, as listed in the Alexandria database.

Properties
Symmetry: No. 156
DFT formation energy (eV per atom): -1.071
Crystal system: trigonal
Theoretical density (kg/m³): 15959
Final energy (eV per atom): -6.6371

a b c (Å): 5.457 5.457 8.884
angles (deg): 90.00 90.00 120.00
Positions (direct):
1 Tb 0.667 0.333 0.436
2 Tb 0.667 0.333 0.066
3 Tb 0.000 0.000 0.934
4 Ho 0.000 0.000 0.564
5 Pt 0.333 0.667 0.500
6 Pt 0.333 0.667 0.000
7 Pt 0.502 0.005 0.750
8 Pt 0.502 0.498 0.750
9 Pt 0.995 0.498 0.750
10 Pt 0.164 0.328 0.250
11 Pt 0.164 0.836 0.250
12 Pt 0.672 0.836 0.250

[2]
First-principles (PBE) data for a geometry-optimized CaLa2Co structure, as listed in the Alexandria database.

Properties
Symmetry: No. 71
DFT formation energy (eV per atom): -0.006
Crystal system: orthorhombic
Theoretical density (kg/m³): 5200
Final energy (eV per atom): -4.7468

a b c (Å): 6.458 6.458 5.962
angles (deg): 62.50 62.50 33.53
Positions (direct):
1 Ca 0.250 0.250 0.250
2 Co 0.750 0.750 0.750
3 La 0.073 0.073 0.927
4 La 0.427 0.427 0.573

[3]
First-principles (PBE) data for a geometry-optimized Lu3PtN structure, as listed in the Alexandria database.

Properties
Symmetry: No. 221
Crystal system: cubic
Formation energy without anion corrections (meV per atom): -1182
Theoretical density (kg/m³): 12696
Final energy (eV per atom): -6.7681

a b c (Å): 4.579 4.579 4.579
angles (deg): 90.00 90.00 90.00
Positions (direct):
1 Lu 0.000 0.500 0.000
2 Lu 0.000 0.000 0.500
3 Lu 0.500 0.000 0.000
4 Pt 0.500 0.500 0.500
5 N 0.000 0.000 0.000

[4]
First-principles (PBE) data for a geometry-optimized RbMg5 structure, as listed in the Alexandria database.

Properties
Symmetry: No. 8
DFT formation energy (eV per atom): 0.159
Crystal system: monoclinic
Theoretical density (kg/m³): 1931
Final energy (eV per atom): -1.3312

a b c (Å): 7.430 7.430 7.938
angles (deg): 74.54 74.54 24.97
Positions (direct):
1 Rb 0.970 0.970 0.054
2 Mg 0.684 0.684 0.244
3 Mg 0.309 0.309 0.460
4 Mg 0.977 0.977 0.545
5 Mg 0.636 0.636 0.657
6 Mg 0.257 0.257 0.873

[5]
First-principles (PBE) data for a geometry-optimized Cs12K6Rb structure, as listed in the Alexandria database.

Properties
Symmetry: No. 148
DFT formation energy (eV per atom): 0.029
Crystal system: trigonal
Theoretical density (kg/m³): 1611
Final energy (eV per atom): -0.9075

a b c (Å): 13.444 13.444 13.444
angles (deg): 107.88 107.88 107.88
Positions (direct):
1 Cs 0.514 0.187 0.644
2 Cs 0.187 0.644 0.514
3 Cs 0.644 0.514 0.187
4 Cs 0.486 0.813 0.356
5 Cs 0.813 0.356 0.486
6 Cs 0.356 0.486 0.813
7 Cs 0.327 0.042 0.866
8 Cs 0.134 0.673 0.958
9 Cs 0.958 0.134 0.673
10 Cs 0.673 0.958 0.134
11 Cs 0.866 0.327 0.042
12 Cs 0.042 0.866 0.327
13 K 0.132 0.256 0.388
14 K 0.744 0.612 0.868
15 K 0.612 0.868 0.744
16 K 0.868 0.744 0.612
17 K 0.256 0.388 0.132
18 K 0.388 0.132 0.256
19 Rb 0.000 0.000 0.000

[6]
First-principles (PBE) data for a geometry-optimized CeMg structure, as listed in the Alexandria database.

Properties
Symmetry: No. 38
DFT formation energy (eV per atom): 0.053
Crystal system: orthorhombic
Theoretical density (kg/m³): 5392
Final energy (eV per atom): -3.7115

a b c (Å): 5.359 3.172 17.871
angles (deg): 90.00 90.00 90.00
Positions (direct):
1 Mg 0.000 0.500 0.508
2 Mg 0.000 0.500 0.160
3 Mg 0.500 0.000 0.112
4 Mg 0.000 0.000 0.008
5 Mg 0.000 0.000 0.660
6 Mg 0.500 0.500 0.612
7 Ce 0.000 0.000 0.326
8 Ce 0.500 0.000 0.441
9 Ce 0.500 0.500 0.286
10 Ce 0.000 0.500 0.826
11 Ce 0.500 0.500 0.941
12 Ce 0.500 0.000 0.786

[7]
First-principles (PBE) data for a geometry-optimized Nd6Nb4Al43 structure, as listed in the Alexandria database.

Properties
Symmetry: No. 193
DFT formation energy (eV per atom): -0.335
Crystal system: hexagonal
Theoretical density (kg/m³): 4058
Final energy (eV per atom): -4.6711

a b c (Å): 11.209 11.209 18.031
angles (deg): 90.00 90.00 120.00
Positions (direct):
1 Nd 0.000 0.472 0.904
2 Nd 0.000 0.528 0.096
3 Nd 0.472 0.000 0.904
4 Nd 0.000 0.528 0.404
5 Nd 0.472 0.000 0.596
6 Nd 0.528 0.000 0.096
7 Nd 0.000 0.472 0.596
8 Nd 0.528 0.000 0.404
9 Nd 0.528 0.528 0.904
10 Nd 0.472 0.472 0.096
11 Nd 0.472 0.472 0.404
12 Nd 0.528 0.528 0.596
13 Nb 0.000 0.000 0.000
14 Nb 0.000 0.000 0.500
15 Nb 0.000 0.271 0.750
16 Nb 0.000 0.729 0.250
17 Nb 0.271 0.000 0.750
18 Nb 0.729 0.000 0.250
19 Nb 0.729 0.729 0.750
20 Nb 0.271 0.271 0.250
21 Al 0.405 0.851 0.750
22 Al 0.595 0.149 0.250
23 Al 0.446 0.595 0.750
24 Al 0.851 0.405 0.750
25 Al 0.554 0.405 0.250
26 Al 0.149 0.595 0.250
27 Al 0.149 0.554 0.750
28 Al 0.595 0.446 0.750
29 Al 0.851 0.446 0.250
30 Al 0.405 0.554 0.250
31 Al 0.554 0.149 0.750
32 Al 0.446 0.851 0.250
33 Al 0.000 0.842 0.384
34 Al 0.000 0.158 0.616
35 Al 0.842 0.000 0.384
36 Al 0.000 0.158 0.884
37 Al 0.842 0.000 0.116
38 Al 0.158 0.000 0.616
39 Al 0.000 0.842 0.116
40 Al 0.158 0.000 0.884
41 Al 0.158 0.158 0.384
42 Al 0.842 0.842 0.616
43 Al 0.842 0.842 0.884
44 Al 0.158 0.158 0.116
45 Al 0.506 0.753 0.000
46 Al 0.494 0.247 0.000
47 Al 0.247 0.494 0.000
48 Al 0.494 0.247 0.500
49 Al 0.753 0.506 0.500
50 Al 0.753 0.506 0.000
51 Al 0.506 0.753 0.500
52 Al 0.247 0.494 0.500
53 Al 0.247 0.753 0.000
54 Al 0.753 0.247 0.000
55 Al 0.753 0.247 0.500
56 Al 0.247 0.753 0.500
57 Al 0.000 0.853 0.750
58 Al 0.000 0.147 0.250
59 Al 0.853 0.000 0.750
60 Al 0.147 0.000 0.250
61 Al 0.147 0.147 0.750
62 Al 0.853 0.853 0.250
63 Al 0.333 0.667 0.874
64 Al 0.667 0.333 0.126
65 Al 0.667 0.333 0.374
66 Al 0.667 0.333 0.626
67 Al 0.333 0.667 0.626
68 Al 0.333 0.667 0.374
69 Al 0.333 0.667 0.126
70 Al 0.667 0.333 0.874
71 Al 0.000 0.747 0.970
72 Al 0.000 0.253 0.030
73 Al 0.747 0.000 0.970
74 Al 0.000 0.253 0.470
75 Al 0.747 0.000 0.530
76 Al 0.253 0.000 0.030
77 Al 0.000 0.747 0.530
78 Al 0.253 0.000 0.470
79 Al 0.253 0.253 0.970
80 Al 0.747 0.747 0.030
81 Al 0.747 0.747 0.470
82 Al 0.253 0.253 0.530
83 Al 0.606 0.842 0.835
84 Al 0.394 0.158 0.165
85 Al 0.236 0.394 0.835
86 Al 0.394 0.158 0.335
87 Al 0.842 0.606 0.665
88 Al 0.764 0.606 0.165
89 Al 0.606 0.842 0.665
90 Al 0.158 0.394 0.335
91 Al 0.158 0.764 0.835
92 Al 0.764 0.606 0.335
93 Al 0.394 0.236 0.665
94 Al 0.842 0.236 0.165
95 Al 0.236 0.394 0.665
96 Al 0.606 0.764 0.335
97 Al 0.158 0.394 0.165
98 Al 0.842 0.606 0.835
99 Al 0.842 0.236 0.335
100 Al 0.606 0.764 0.165
101 Al 0.158 0.764 0.665
102 Al 0.394 0.236 0.835
103 Al 0.764 0.158 0.665
104 Al 0.236 0.842 0.335
105 Al 0.236 0.842 0.165
106 Al 0.764 0.158 0.835

[8]
First-principles (PBE) data for a geometry-optimized LaTaTc structure, as listed in the Alexandria database.

Properties
Symmetry: No. 216
DFT formation energy (eV per atom): 1.565
Crystal system: cubic
Theoretical density (kg/m³): 10374
Final energy (eV per atom): -7.4833

a b c (Å): 4.556 4.556 4.556
angles (deg): 60.00 60.00 60.00
Positions (direct):
1 La 0.750 0.750 0.750
2 Ta 0.000 0.000 0.000
3 Tc 0.500 0.500 0.500

[9]
First-principles (PBE) data for a geometry-optimized In3Hg3S8 structure, as listed in the Alexandria database.

Properties
Symmetry: No. 166
Crystal system: trigonal
Formation energy without anion corrections (meV per atom): -287
Theoretical density (kg/m³): 5890
Final energy (eV per atom): -3.2970

a b c (Å): 7.812 7.812 7.812
angles (deg): 60.26 60.26 60.26
Positions (direct):
1 In 0.500 0.000 0.000
2 In 0.000 0.500 0.000
3 In 0.000 0.000 0.500
4 Hg 0.376 0.376 0.376
5 Hg 0.624 0.624 0.624
6 Hg 0.000 0.000 0.000
7 S 0.760 0.760 0.760
8 S 0.219 0.757 0.757
9 S 0.757 0.219 0.757
10 S 0.757 0.757 0.219
11 S 0.240 0.240 0.240
12 S 0.781 0.243 0.243
13 S 0.243 0.781 0.243
14 S 0.243 0.243 0.781

[10]
First-principles (PBE) data for a geometry-optimized Hf6Hg2Rh structure, as listed in the Alexandria database.

Properties
Symmetry: No. 71
DFT formation energy (eV per atom): 0.157
Crystal system: orthorhombic
Theoretical density (kg/m³): 12265
Final energy (eV per atom): -7.3625

a b c (Å): 4.660 6.622 8.010
angles (deg): 114.41 106.95 90.00
Positions (direct):
1 Hf 0.156 0.398 0.312
2 Hf 0.844 0.086 0.688
3 Hf 0.844 0.602 0.688
4 Hf 0.500 0.236 0.000
5 Hf 0.156 0.914 0.312
6 Hf 0.500 0.764 0.000
7 Hg 0.671 0.671 0.342
8 Hg 0.329 0.329 0.658
9 Rh 0.000 0.000 0.000

[11]
First-principles (PBE) data for a geometry-optimized Pr7AuI12 structure, as listed in the Alexandria database.

Properties
Symmetry: No. 148
Crystal system: trigonal
Formation energy without anion corrections (meV per atom): -1263
Theoretical density (kg/m³): 5385
Final energy (eV per atom): -4.0302

a b c (Å): 10.103 10.103 10.103
angles (deg): 107.99 107.99 107.99
Positions (direct):
1 Pr 0.958 0.677 0.886
2 Pr 0.323 0.114 0.042
3 Pr 0.114 0.042 0.323
4 Pr 0.500 0.500 0.500
5 Pr 0.886 0.958 0.677
6 Pr 0.677 0.886 0.958
7 Pr 0.042 0.323 0.114
8 Au 0.000 0.000 0.000
9 I 0.923 0.312 0.773
10 I 0.688 0.227 0.077
11 I 0.478 0.156 0.396
12 I 0.844 0.604 0.522
13 I 0.227 0.077 0.688
14 I 0.604 0.522 0.844
15 I 0.396 0.478 0.156
16 I 0.773 0.923 0.312
17 I 0.156 0.396 0.478
18 I 0.522 0.844 0.604
19 I 0.312 0.773 0.923
20 I 0.077 0.688 0.227

[12]
First-principles (PBE) data for a geometry-optimized AgHg2Br structure, as listed in the Alexandria database.

Properties
Symmetry: No. 123
Crystal system: tetragonal
Formation energy without anion corrections (meV per atom): 22
Theoretical density (kg/m³): 10045
Final energy (eV per atom): -1.2598

a b c (Å): 3.494 3.494 7.977
angles (deg): 90.00 90.00 90.00
Positions (direct):
1 Br 0.500 0.500 0.750
2 Hg 0.000 0.000 0.015
3 Hg 0.000 0.000 0.485
4 Ag 0.500 0.500 0.250

[13]
First-principles (PBE) data for a geometry-optimized V2HPt structure, as listed in the Alexandria database.

Properties
Symmetry: No. 123
Crystal system: tetragonal
Theoretical density (kg/m³): 10908
Final energy (eV per atom): -6.9974

a b c (Å): 2.685 2.685 6.291
angles (deg): 90.00 90.00 90.00
Positions (direct):
1 H 0.500 0.500 0.000
2 Pt 0.500 0.500 0.500
3 V 0.000 0.000 0.812
4 V 0.000 0.000 0.188

[14]
First-principles (PBE) data for a geometry-optimized Ho5TlHg6 structure, as listed in the Alexandria database.

Properties
Symmetry: No. 12
DFT formation energy (eV per atom): -0.417
Crystal system: monoclinic
Theoretical density (kg/m³): 12154
Final energy (eV per atom): -2.6728

a b c (Å): 5.149 7.554 9.085
angles (deg): 114.57 106.65 90.00
Positions (direct):
1 Tl 0.000 0.000 0.000
2 Ho 0.648 0.148 0.297
3 Ho 0.326 0.326 0.651
4 Ho 0.000 0.500 0.000
5 Ho 0.674 0.674 0.349
6 Ho 0.352 0.852 0.703
7 Hg 0.826 0.563 0.651
8 Hg 0.826 0.088 0.651
9 Hg 0.500 0.726 0.000
10 Hg 0.500 0.274 0.000
11 Hg 0.174 0.912 0.349
12 Hg 0.174 0.437 0.349

[15]
First-principles (PBE) data for a geometry-optimized NiIr2Pb structure, as listed in the Alexandria database.

Properties
Symmetry: No. 47
DFT formation energy (eV per atom): 0.483
Crystal system: orthorhombic
Theoretical density (kg/m³): 16726
Final energy (eV per atom): -6.3199

a b c (Å): 2.902 4.709 4.724
angles (deg): 90.00 90.00 90.00
Positions (direct):
1 Ir 0.000 0.000 0.000
2 Ir 0.500 0.500 0.000
3 Ni 0.500 0.000 0.500
4 Pb 0.000 0.500 0.500

[16]
First-principles (PBE) data for a geometry-optimized HfMn2CoC structure, as listed in the Alexandria database.

Properties
Symmetry: No. 123
DFT formation energy (eV per atom): -0.228
Crystal system: tetragonal
Theoretical density (kg/m³): 10397
Final energy (eV per atom): -9.1529

a b c (Å): 3.881 3.881 3.810
angles (deg): 90.00 90.00 90.00
Positions (direct):
1 Co 0.000 0.000 0.500
2 C 0.000 0.000 0.000
3 Mn 0.000 0.500 0.000
4 Mn 0.500 0.000 0.000
5 Hf 0.500 0.500 0.500

[17]
First-principles (PBE) data for a geometry-optimized ScRe3Pb structure, as listed in the Alexandria database.

Properties
Symmetry: No. 221
DFT formation energy (eV per atom): 2.329
Crystal system: cubic
Theoretical density (kg/m³): 12611
Final energy (eV per atom): -7.1474

a b c (Å): 4.744 4.744 4.744
angles (deg): 90.00 90.00 90.00
Positions (direct):
1 Pb 0.500 0.500 0.500
2 Re 0.000 0.500 0.000
3 Re 0.000 0.000 0.500
4 Re 0.500 0.000 0.000
5 Sc 0.000 0.000 0.000

[18]
First-principles (PBE) data for a geometry-optimized LiTiNCl structure, as listed in the Alexandria database.

Properties
Symmetry: No. 59
Crystal system: orthorhombic
Formation energy without anion corrections (meV per atom): -1482
Theoretical density (kg/m³): 3071
Final energy (eV per atom): -6.4775

a b c (Å): 3.380 4.102 8.133
angles (deg): 90.00 90.00 90.00
Positions (direct):
1 Li 0.500 0.500 0.665
2 Li 0.000 0.000 0.335
3 Ti 0.500 0.000 0.947
4 Ti 0.000 0.500 0.053
5 N 0.500 0.500 0.919
6 N 0.000 0.000 0.081
7 Cl 0.000 0.000 0.653
8 Cl 0.500 0.500 0.347

[19]
First-principles (PBE) data for a geometry-optimized CrSe2SN structure, as listed in the Alexandria database.

Properties
Symmetry: No. 123
Crystal system: tetragonal
Formation energy without anion corrections (meV per atom): 1220
Theoretical density (kg/m³): 5284
Final energy (eV per atom): -4.5894

a b c (Å): 4.956 4.956 3.275
angles (deg): 90.00 90.00 90.00
Positions (direct):
1 Cr 0.500 0.500 0.500
2 S 0.000 0.000 0.000
3 Se 0.000 0.500 0.000
4 Se 0.500 0.000 0.000
5 N 0.000 0.000 0.500